No. 1
First-principles (meta-GGA SCAN) data for a PBEsol-optimized structure of Sr3MgNb, as listed in Alexandria via LeMat-Bulk.

Lattice parameters (Å, degrees): 6.117 6.117 6.117 90.00 90.00 90.00
Each line ends with the local moment (μB).
Fractional coordinates of all 5 atoms:
Nb  0.500  0.500  0.500  2.83
Sr  0.000  0.500  0.000  0.00
Sr  0.000  0.000  0.500  0.00
Sr  0.500  0.000  0.000  0.00
Mg  0.000  0.000  0.000  -0.03

Results
The space-group type is Pm-3m, No. 221. The calculation puts the formation energy at 1024 meV per atom. The total energy comes out at -19.96 eV per atom. For the density of states at the Fermi level, the calculation gives 0.85 states/eV/atom.

---

No. 2
First-principles (meta-GGA SCAN) data for a PBEsol-optimized structure of MgNbTe3, as listed in Alexandria via LeMat-Bulk.

Lattice parameters (Å, degrees): 5.383 5.383 5.383 90.00 90.00 90.00
Fractional coordinates of all 5 atoms:
Te  0.000  0.000  0.500
Te  0.000  0.500  0.000
Te  0.500  0.000  0.000
Nb  0.000  0.000  0.000
Mg  0.500  0.500  0.500

Results
The space-group type is Pm-3m, No. 221. The formation energy from raw total energies comes out at 0.1586 eV per atom. The total energy comes out at -29.81 eV per atom. For the density of states at the Fermi level, the calculation gives 0.78 states/eV/atom.

---

No. 3
First-principles (meta-GGA SCAN) data for a PBEsol-optimized structure of MgZr2NbTl, as listed in Alexandria via LeMat-Bulk.

Lattice parameters (Å, degrees): 5.144 5.283 5.283 90.00 90.00 90.00
Each line ends with the local moment (μB).
Fractional coordinates of all 5 atoms:
Nb  0.500  0.000  0.000  1.31
Tl  0.000  0.000  0.000  0.01
Zr  0.000  0.000  0.500  -0.08
Zr  0.000  0.500  0.000  -0.08
Mg  0.500  0.500  0.500  -0.01

Results
The space-group type is P4/mmm, No. 123. The calculation puts the formation energy at 1150 meV per atom. The total energy comes out at -33.22 eV per atom. For the density of states at the Fermi level, the calculation gives 0.87 states/eV/atom.

---

No. 4
First-principles (meta-GGA SCAN) data for a PBEsol-optimized structure of Mg3NbW, as listed in Alexandria via LeMat-Bulk.

Lattice parameters (Å, degrees): 4.972 4.972 4.972 90.00 90.00 90.00
Each line ends with the local moment (μB).
Fractional coordinates of all 5 atoms:
Mg  0.000  0.500  0.000  0.03
Mg  0.000  0.000  0.500  0.03
Mg  0.500  0.000  0.000  0.03
W  0.500  0.500  0.500  2.70
Nb  0.000  0.000  0.000  0.87

Results
The space-group type is Pm-3m, No. 221. The calculation puts the formation energy at 2206 meV per atom. The total energy comes out at -21.34 eV per atom. For the density of states at the Fermi level, the calculation gives 0.43 states/eV/atom.

---

No. 5
First-principles (meta-GGA SCAN) data for a PBEsol-optimized structure of Nd5Mg, as listed in Alexandria via LeMat-Bulk.

Lattice parameters (Å, degrees): 6.212 6.212 6.673 62.26 62.26 60.00
Fractional coordinates of all 6 atoms:
Nd  0.841  0.841  0.476
Nd  0.369  0.631  0.000
Nd  0.159  0.159  0.524
Nd  0.000  0.369  0.000
Nd  0.631  0.000  0.000
Mg  0.500  0.500  0.500

Results
The space-group type is R32, No. 155. The calculation puts the formation energy at -24 meV per atom. The total energy comes out at -37.17 eV per atom. For the density of states at the Fermi level, the calculation gives 0.94 states/eV/atom. For the distance to the lowest polymorph of the same formula, the calculation gives 0 meV per atom.

---

No. 6
First-principles (meta-GGA SCAN) data for a PBEsol-optimized structure of Nd5Mg, as listed in Alexandria via LeMat-Bulk.

Lattice parameters (Å, degrees): 3.647 5.759 9.183 90.00 101.45 90.00
Fractional coordinates of all 6 atoms:
Nd  0.877  0.500  0.754
Nd  0.008  0.000  0.015
Nd  0.336  0.000  0.672
Nd  0.553  0.500  0.106
Nd  0.676  0.000  0.351
Mg  0.216  0.500  0.433

Results
The space-group type is Amm2, No. 38. The calculation puts the formation energy at 4 meV per atom. The total energy comes out at -37.14 eV per atom. For the density of states at the Fermi level, the calculation gives 1.23 states/eV/atom. For the distance to the lowest polymorph of the same formula, the calculation gives 28 meV per atom.

---

No. 7
First-principles (meta-GGA SCAN) data for a PBEsol-optimized structure of Nd3Mg, as listed in Alexandria via LeMat-Bulk.

Lattice parameters (Å, degrees): 4.945 4.945 4.945 90.00 90.00 90.00
Each line ends with the local moment (μB).
Fractional coordinates of all 4 atoms:
Nd  0.500  0.500  0.000  -0.07
Nd  0.500  0.000  0.500  -0.07
Nd  0.000  0.500  0.500  -0.07
Mg  0.000  0.000  0.000  0.01

Results
The space-group type is Pm-3m, No. 221. The calculation puts the formation energy at -33 meV per atom. The total energy comes out at -33.96 eV per atom. For the density of states at the Fermi level, the calculation gives 1.10 states/eV/atom.

---

No. 8
First-principles (meta-GGA SCAN) data for a PBEsol-optimized structure of Nd3Mg, as listed in Alexandria via LeMat-Bulk.

Lattice parameters (Å, degrees): 4.909 4.909 6.077 113.82 113.82 90.00
Each line ends with the local moment (μB).
Fractional coordinates of all 4 atoms:
Nd  0.250  0.750  0.500  -0.05
Nd  0.500  0.500  0.000  -0.05
Nd  0.750  0.250  0.500  -0.05
Mg  0.000  0.000  0.000  0.01

Results
The space-group type is I4/mmm, No. 139. The calculation puts the formation energy at -30 meV per atom. The total energy comes out at -33.96 eV per atom. For the density of states at the Fermi level, the calculation gives 1.07 states/eV/atom.

---

No. 9
First-principles (meta-GGA SCAN) data for a PBEsol-optimized structure of Nd4MgNi, as listed in Alexandria via LeMat-Bulk.

Lattice parameters (Å, degrees): 9.743 9.743 9.743 60.00 60.00 60.00
Fractional coordinates of all 24 atoms:
Nd  0.655  0.655  0.036
Nd  0.437  0.063  0.437
Nd  0.655  0.036  0.655
Nd  0.437  0.437  0.063
Nd  0.810  0.810  0.190
Nd  0.810  0.190  0.190
Nd  0.063  0.437  0.063
Nd  0.063  0.437  0.437
Nd  0.190  0.190  0.810
Nd  0.190  0.810  0.810
Nd  0.063  0.063  0.437
Nd  0.437  0.063  0.063
Nd  0.655  0.655  0.655
Nd  0.190  0.810  0.190
Nd  0.810  0.190  0.810
Nd  0.036  0.655  0.655
Mg  0.421  0.421  0.421
Mg  0.738  0.421  0.421
Mg  0.421  0.738  0.421
Mg  0.421  0.421  0.738
Ni  0.858  0.858  0.858
Ni  0.858  0.858  0.427
Ni  0.858  0.427  0.858
Ni  0.427  0.858  0.858

Results
The space-group type is F-43m, No. 216. The calculation puts the formation energy at -174 meV per atom. The total energy comes out at -32.75 eV per atom. For the density of states at the Fermi level, the calculation gives 0.77 states/eV/atom.

---

No. 10
First-principles (meta-GGA SCAN) data for a PBEsol-optimized structure of PrNdMg2, as listed in Alexandria via LeMat-Bulk.

Lattice parameters (Å, degrees): 5.439 5.439 5.439 60.00 60.00 60.00
Fractional coordinates of all 4 atoms:
Pr  0.000  0.000  0.000
Mg  0.750  0.750  0.750
Mg  0.250  0.250  0.250
Nd  0.500  0.500  0.500

Results
The space-group type is Fm-3m, No. 225. The calculation puts the formation energy at -128 meV per atom. The total energy comes out at -24.34 eV per atom. For the density of states at the Fermi level, the calculation gives 0.93 states/eV/atom.

---

No. 11
First-principles (meta-GGA SCAN) data for a PBEsol-optimized structure of NdMgPt, as listed in Alexandria via LeMat-Bulk.

Lattice parameters (Å, degrees): 4.086 7.474 7.474 120.00 90.00 90.00
Fractional coordinates of all 9 atoms:
Pt  0.500  0.667  0.333
Pt  0.000  0.000  0.000
Pt  0.500  0.333  0.667
Nd  0.000  0.000  0.588
Nd  0.000  0.588  0.000
Nd  0.000  0.412  0.412
Mg  0.500  0.242  0.000
Mg  0.500  0.758  0.758
Mg  0.500  0.000  0.242

Results
The space-group type is P-62m, No. 189. The calculation puts the formation energy at -1088 meV per atom. The total energy comes out at -40.67 eV per atom. For the density of states at the Fermi level, the calculation gives 0.72 states/eV/atom.